Density functional theory data (PBE) for a relaxed structure of ZrIrOs.

Values from the calculation:
The value obtained for the formation energy is 11.3 kcal/mol of atoms. For the mass density, the calculation gives 13.30 Mg/m³. Its space group is F-43m (216). Its spin magnetization is 0.00 μB per formula unit. For the total energy, the calculation gives -9.06 eV/atom. The calculation puts the relative energy among the computed polymorphs at 0.775 eV/atom.

a b c (Å): 4.3730 4.3730 4.3730
angles (deg): 60.00 60.00 60.00
Closest atoms and distances in Å follow each position.
Fractional positions:
Zr: 0.0000 0.0000 0.0000  4 Os 2.68, 4 Ir 2.68
Ir: 0.7500 0.7500 0.7500  4 Zr 2.68
Os: 0.2500 0.2500 0.2500  4 Zr 2.68

Density functional theory data (PBE) for a relaxed structure of ZrIrOs2.

Values from the calculation:
The value obtained for the formation energy is -2.9 kcal/mol of atoms. For the mass density, the calculation gives 17.29 Mg/m³. Its space group is I4/mmm (139). Its spin magnetization is 0.00 μB per formula unit. For the total energy, the calculation gives -10.09 eV/atom. The calculation puts the relative energy among the computed polymorphs at 0.110 eV/atom.

a b c (Å): 4.9390 4.9390 4.9390
angles (deg): 132.76 132.76 69.04
Closest atoms and distances in Å follow each position.
Fractional positions:
Zr: 0.0000 0.0000 0.0000  4 Ir 2.80, 8 Os 2.84
Ir: 0.5000 0.5000 0.0000  4 Zr 2.80, 8 Os 2.84
Os: 0.2500 0.7500 0.5000  4 Os 2.80, 4 Zr 2.84, 4 Ir 2.84
Os: 0.7500 0.2500 0.5000  4 Os 2.80, 4 Zr 2.84, 4 Ir 2.84

Density functional theory data (PBE) for a relaxed structure of ZrIrOs2.

Values from the calculation:
The value obtained for the formation energy is -2.9 kcal/mol of atoms. For the mass density, the calculation gives 17.14 Mg/m³. Its space group is P4mm (99). Its spin magnetization is 0.00 μB per formula unit. For the total energy, the calculation gives -10.09 eV/atom. The calculation puts the relative energy among the computed polymorphs at 0.112 eV/atom.

a b c (Å): 2.8439 2.8439 7.9532
angles (deg): 90.00 90.00 90.00
Closest atoms and distances in Å follow each position.
Fractional positions:
Zr: 0.0000 0.0000 0.0000  4 Zr 2.84, 4 Ir 2.94, 4 Os 2.99
Ir: 0.5000 0.5000 0.2690  4 Os 2.75, 4 Ir 2.84, 4 Zr 2.94
Os: 0.0000 0.0000 0.5052  8 Os 2.65-2.84, 4 Ir 2.75
Os: 0.5000 0.5000 0.7216  8 Os 2.65-2.84

Density functional theory data (PBE) for a relaxed structure of ZrIrOs.

Values from the calculation:
The value obtained for the formation energy is -6.6 kcal/mol of atoms. For the mass density, the calculation gives 14.79 Mg/m³. Its space group is P2_1/c (14). Its spin magnetization is 0.00 μB per formula unit. For the total energy, the calculation gives -9.83 eV/atom. The calculation puts the relative energy among the computed polymorphs at 0.000 eV/atom.

a b c (Å): 6.5524 5.1103 6.6651
angles (deg): 90.00 107.59 90.00
Closest atoms and distances in Å follow each position.
Fractional positions:
Zr: 0.1972 0.1226 0.3895  4 Ir 2.66-2.92, 3 Os 2.92-2.96
Zr: 0.1972 0.3774 0.8895  4 Ir 2.66-2.92, 3 Os 2.92-2.96
Zr: 0.8028 0.6226 0.1105  4 Ir 2.66-2.92, 3 Os 2.92-2.96
Zr: 0.8028 0.8774 0.6105  4 Ir 2.66-2.92, 3 Os 2.92-2.96
Ir: 0.1683 0.6365 0.5189  1 Ir 2.56, 3 Os 2.62-2.73, 3 Zr 2.66-2.79
Ir: 0.1683 0.8635 0.0189  1 Ir 2.56, 3 Os 2.62-2.73, 3 Zr 2.66-2.79
Ir: 0.8317 0.1365 0.9811  1 Ir 2.56, 3 Os 2.62-2.73, 3 Zr 2.66-2.79
Ir: 0.8317 0.3635 0.4811  1 Ir 2.56, 3 Os 2.62-2.73, 3 Zr 2.66-2.79
Os: 0.4589 0.5818 0.3031  3 Ir 2.62-2.73, 3 Os 2.65-2.75, 1 Zr 2.92
Os: 0.4589 0.9182 0.8031  3 Ir 2.62-2.73, 3 Os 2.65-2.75, 1 Zr 2.92
Os: 0.5411 0.0819 0.1969  3 Ir 2.62-2.73, 3 Os 2.65-2.75, 1 Zr 2.92
Os: 0.5411 0.4182 0.6969  3 Ir 2.62-2.73, 3 Os 2.65-2.75, 1 Zr 2.92

Density functional theory data (PBE) for a relaxed structure of ZrIrOs2.

Values from the calculation:
The value obtained for the formation energy is 1.8 kcal/mol of atoms. For the mass density, the calculation gives 16.57 Mg/m³. Its space group is P4mm (99). Its spin magnetization is 0.00 μB per formula unit. For the total energy, the calculation gives -9.89 eV/atom. The calculation puts the relative energy among the computed polymorphs at 0.312 eV/atom.

a b c (Å): 3.3686 3.3686 5.8620
angles (deg): 90.00 90.00 90.00
Closest atoms and distances in Å follow each position.
Fractional positions:
Zr: 0.0000 0.0000 0.0000  4 Ir 2.77, 6 Os 2.85-3.02
Ir: 0.5000 0.5000 0.2425  5 Os 2.69-2.87, 4 Zr 2.77
Os: 0.0000 0.0000 0.5145  4 Os 2.62, 1 Zr 2.85, 4 Ir 2.87
Os: 0.5000 0.5000 0.7018  4 Os 2.62, 1 Ir 2.69

Density functional theory data (PBE) for a relaxed structure of Zr2IrOs.

Values from the calculation:
The value obtained for the formation energy is -3.8 kcal/mol of atoms. For the mass density, the calculation gives 12.62 Mg/m³. Its space group is C2/m (12). Its spin magnetization is 0.00 μB per formula unit. For the total energy, the calculation gives -9.46 eV/atom. The calculation puts the relative energy among the computed polymorphs at 0.476 eV/atom.

a b c (Å): 4.6158 4.6158 5.4485
angles (deg): 103.03 103.03 41.27
Closest atoms and distances in Å follow each position.
Fractional positions:
Zr: 0.2501 0.2501 0.2485  3 Os 2.78-2.81, 3 Ir 2.79-2.82
Zr: 0.7499 0.7499 0.7515  3 Os 2.78-2.81, 3 Ir 2.79-2.82
Ir: 0.0000 0.0000 0.5000  6 Zr 2.79-2.82
Os: 0.5000 0.5000 0.0000  6 Zr 2.78-2.81

Q: Number 3 is which compound?
A: ZrIrOs2